No. 1
Entry from Alexandria: a geometry-optimized CaAsO2 structure (PBE).

Computed properties:
The calculated volume comes out at 184 Å³ per cell. As for the formation energy without anion corrections: -165.7 kJ per mole of atoms. Its density of states at the Fermi level is 0.214 states/eV/atom. Its crystal system is trigonal.

Cell: 3.3596 3.3596 18.8659 Å, 90.00 90.00 120.00°
Space group R-3m (No. 166, hexagonal axes)
Symmetry-distinct sites (fractional):
Ca: 0.0000 0.0000 0.0000 [3 per cell]
As: 0.0000 0.0000 0.5000 [3 per cell]
O: 0.0000 0.0000 0.4001 [6 per cell]

***

No. 2
Entry from Alexandria: a geometry-optimized Ca3As2O8 structure (PBE).

Computed properties:
The calculated volume comes out at 366 Å³ per cell. As for the formation energy without anion corrections: -214.6 kJ per mole of atoms. Its density of states at the Fermi level is 0.000 states/eV/atom. Its crystal system is monoclinic.

Cell: 10.009 6.844 5.815 Å, 90.00 113.19 90.00°
Space group C2/m (No. 12)
Symmetry-distinct sites (fractional):
Ca: 0.000 0.000 0.000 [2 per cell]
Ca: 0.000 0.272 0.500 [4 per cell]
As: 0.184 0.500 0.129 [4 per cell]
O: 0.125 0.000 0.734 [4 per cell]
O: 0.130 0.291 0.233 [8 per cell]
O: 0.139 0.500 0.811 [4 per cell]

***

No. 3
Entry from Alexandria: a geometry-optimized Ca4As2O structure (PBE).

Computed properties:
The calculated volume comes out at 322 Å³ per cell. As for the formation energy without anion corrections: -140.8 kJ per mole of atoms. Its density of states at the Fermi level is 0.027 states/eV/atom. Its crystal system is monoclinic.

Cell: 11.985 3.967 7.603 Å, 90.00 116.90 90.00°
Space group C2/m (No. 12)
Symmetry-distinct sites (fractional):
Ca: 0.067 0.000 0.358 [4 per cell]
Ca: 0.153 0.500 0.063 [4 per cell]
As: 0.162 0.500 0.686 [4 per cell]
O: 0.000 0.000 0.000 [2 per cell]

***

No. 4
Entry from Alexandria: a geometry-optimized CaAs2OsO8 structure (PBE).

Computed properties:
The calculated volume comes out at 174 Å³ per cell. As for the formation energy without anion corrections: -126.4 kJ per mole of atoms. Its density of states at the Fermi level is 0.182 states/eV/atom. Its crystal system is trigonal.

Cell: 5.4888 5.4888 6.6824 Å, 90.00 90.00 120.00°
Space group P-3m1 (No. 164)
Symmetry-distinct sites (fractional):
Ca: 0.0000 0.0000 0.0000 [1 per cell]
As: 0.3333 0.6667 0.2299 [2 per cell]
Os: 0.0000 0.0000 0.5000 [1 per cell]
O: 0.1568 0.3136 0.3008 [6 per cell]
O: 0.3333 0.6667 0.9801 [2 per cell]

***

No. 5
Entry from Alexandria: a geometry-optimized CaAsOs2O structure (PBE).

Computed properties:
The calculated volume comes out at 78 Å³ per cell. As for the formation energy without anion corrections: 14.9 kJ per mole of atoms. Its density of states at the Fermi level is 0.874 states/eV/atom. Its crystal system is tetragonal.

Cell: 4.118 4.118 4.576 Å, 90.00 90.00 90.00°
Space group P4/mmm (No. 123)
Symmetry-distinct sites (fractional):
Ca: 0.000 0.000 0.000 [1 per cell]
As: 0.500 0.500 0.000 [1 per cell]
Os: 0.000 0.500 0.500 [2 per cell]
O: 0.000 0.000 0.500 [1 per cell]

***

No. 6
Entry from Alexandria: a geometry-optimized CaAsPO2 structure (PBE).

Computed properties:
The calculated volume comes out at 103 Å³ per cell. As for the formation energy without anion corrections: 9.5 kJ per mole of atoms. Its density of states at the Fermi level is 0.827 states/eV/atom. Its crystal system is tetragonal.

Cell: 4.160 4.160 5.957 Å, 90.00 90.00 90.00°
Space group P4/mmm (No. 123)
Symmetry-distinct sites (fractional):
Ca: 0.000 0.000 0.000 [1 per cell]
As: 0.500 0.500 0.500 [1 per cell]
P: 0.000 0.000 0.500 [1 per cell]
O: 0.000 0.500 0.000 [2 per cell]